CoMo3O: relaxed, PBE with a Hubbard U.

Unit cell a=4.4755 b=4.4755 c=4.4755 alpha=90.00 beta=90.00 gamma=90.00
Positions (direct):
Co  0.0000  0.0000  0.0000
Mo  0.0000  0.0000  0.5000
Mo  0.0000  0.5000  0.0000
Mo  0.5000  0.0000  0.0000
O  0.5000  0.5000  0.5000

- D(E_F): 2.59 states/eV/f.u.
- Calculated total energy: -3.78 eV/atom
- ΔE to the lowest computed polymorph: 1637.0 meV per atom